# 1
Na6HgBi2 | PBE-GGA | relaxed

Energy of formation from the pure elements ... -0.244 eV/atom
Polymorph energy (0 for the lowest one) ... 0 meV/atom
Density of states at the Fermi level ... 3.30 states/eV/f.u.

Unit cell a=3.467 b=9.217 c=9.217 alpha=120.00 beta=90.00 gamma=90.00
Element x y z (fractional)
Na: 0.500 0.337 0.337
Na: 0.500 0.663 0.663
Na: 0.500 0.000 0.663
Na: 0.500 0.663 0.000
Na: 0.500 0.337 0.000
Na: 0.500 0.000 0.337
Hg: 0.000 0.000 0.000
Bi: 0.000 0.333 0.667
Bi: 0.000 0.667 0.333

# 2
LuScH | PBE-GGA | relaxed

Polymorph energy (0 for the lowest one) ... 167 meV/atom
Density of states at the Fermi level ... 3.24 states/eV/f.u.

Unit cell a=3.140 b=3.140 c=6.186 alpha=104.70 beta=104.70 gamma=90.00
Element x y z (fractional)
Sc: 0.743 0.743 0.487
H: 0.222 0.222 0.444
Lu: 0.035 0.035 0.070

# 3
Mg2ScPt9 | PBE-GGA | relaxed

Energy of formation from the pure elements ... -0.751 eV/atom
Density of states at the Fermi level ... 12.81 states/eV/f.u.

Unit cell a=3.978 b=3.978 c=11.913 alpha=90.00 beta=90.00 gamma=90.00
Element x y z (fractional)
Mg: 0.000 0.000 0.336
Mg: 0.000 0.000 0.664
Sc: 0.000 0.000 0.000
Pt: 0.500 0.500 0.000
Pt: 0.500 0.500 0.334
Pt: 0.500 0.500 0.666
Pt: 0.500 0.000 0.169
Pt: 0.500 0.000 0.500
Pt: 0.500 0.000 0.831
Pt: 0.000 0.500 0.169
Pt: 0.000 0.500 0.500
Pt: 0.000 0.500 0.831

# 4
Sm4GaCoBr2 | PBE-GGA | relaxed

Density of states at the Fermi level ... 6.09 states/eV/f.u.
Raw formation energy ... -773 meV per atom

Unit cell a=3.962 b=7.418 c=7.967 alpha=107.70 beta=90.00 gamma=90.00
Element x y z (fractional)
Sm: 0.500 0.274 0.202
Sm: 0.500 0.726 0.798
Sm: 0.000 0.274 0.802
Sm: 0.000 0.726 0.198
Ga: 0.000 0.000 0.000
Co: 0.500 0.500 0.000
Br: 0.500 0.000 0.500
Br: 0.000 0.500 0.500

# 5
NpAs2Rh7Pb2 | PBE-GGA | relaxed

Energy of formation from the pure elements ... -0.262 eV/atom
Density of states at the Fermi level ... 11.87 states/eV/f.u.

Unit cell a=3.961 b=3.961 c=14.380 alpha=85.05 beta=85.05 gamma=89.83
Element x y z (fractional)
Np: 0.000 0.000 0.000
As: 0.577 0.577 0.754
As: 0.423 0.423 0.246
Rh: 0.500 0.500 0.000
Rh: 0.382 0.382 0.419
Rh: 0.618 0.618 0.581
Rh: 0.956 0.456 0.142
Rh: 0.456 0.956 0.142
Rh: 0.544 0.044 0.858
Rh: 0.044 0.544 0.858
Pb: 0.887 0.887 0.395
Pb: 0.113 0.113 0.605

# 6
BeNbTeN2 | PBE-GGA | relaxed

Polymorph energy (0 for the lowest one) ... 731 meV/atom
Density of states at the Fermi level ... 3.88 states/eV/f.u.
Raw formation energy ... 1289 meV per atom

Unit cell a=3.797 b=3.797 c=4.786 alpha=90.00 beta=90.00 gamma=90.00
Element x y z (fractional)
Be: 0.000 0.000 0.000
Nb: 0.500 0.500 0.500
Te: 0.000 0.000 0.500
N: 0.000 0.500 0.000
N: 0.500 0.000 0.000

# 7
RbHgSe2Br | PBE-GGA | relaxed

Polymorph energy (0 for the lowest one) ... 707 meV/atom
Density of states at the Fermi level ... 6.67 states/eV/f.u.
Raw formation energy ... 403 meV per atom

Unit cell a=6.935 b=6.935 c=6.457 alpha=90.00 beta=90.00 gamma=90.00
Element x y z (fractional)
Br: 0.000 0.000 0.500
Se: 0.000 0.500 0.000
Se: 0.500 0.000 0.000
Hg: 0.500 0.500 0.500
Rb: 0.000 0.000 0.000

# 8
Tl7Hg3Bi | PBE-GGA | relaxed

Energy of formation from the pure elements ... 0.028 eV/atom
Density of states at the Fermi level ... 4.72 states/eV/f.u.

Unit cell a=7.494 b=7.338 c=7.338 alpha=120.00 beta=90.00 gamma=90.00
Element x y z (fractional)
Tl: 0.095 0.157 0.843
Tl: 0.095 0.157 0.314
Tl: 0.118 0.667 0.333
Tl: 0.481 0.843 0.157
Tl: 0.481 0.314 0.157
Tl: 0.481 0.843 0.686
Tl: 0.095 0.686 0.843
Hg: 0.783 0.493 0.507
Hg: 0.783 0.493 0.986
Hg: 0.783 0.014 0.507
Bi: 0.420 0.333 0.667

# 9
BaOsPt | PBE-GGA | relaxed

Energy of formation from the pure elements ... -0.035 eV/atom
Polymorph energy (0 for the lowest one) ... 24 meV/atom
Density of states at the Fermi level ... 2.47 states/eV/f.u.

Unit cell a=7.567 b=4.211 c=12.078 alpha=90.00 beta=125.97 gamma=90.00
Element x y z (fractional)
Os: 0.177 0.000 0.913
Os: 0.177 0.500 0.413
Os: 0.984 0.000 0.307
Os: 0.984 0.500 0.807
Ba: 0.179 0.000 0.632
Ba: 0.179 0.500 0.132
Ba: 0.598 0.000 0.471
Ba: 0.598 0.500 0.971
Pt: 0.531 0.000 0.145
Pt: 0.531 0.500 0.645
Pt: 0.756 0.000 0.805
Pt: 0.756 0.500 0.305

# 10
SiTePt2 | PBE-GGA | relaxed

Polymorph energy (0 for the lowest one) ... 168 meV/atom
Density of states at the Fermi level ... 2.40 states/eV/f.u.
Raw formation energy ... -221 meV per atom

Unit cell a=3.814 b=4.528 c=4.534 alpha=77.58 beta=90.00 gamma=90.00
Element x y z (fractional)
Pt: 0.000 0.042 0.042
Pt: 0.000 0.458 0.458
Si: 0.500 0.250 0.250
Te: 0.500 0.750 0.750

# 11
Pr8DyGa6 | PBE-GGA | relaxed

Energy of formation from the pure elements ... -0.354 eV/atom
Density of states at the Fermi level ... 17.67 states/eV/f.u.

Unit cell a=8.911 b=8.911 c=8.190 alpha=57.04 beta=57.04 gamma=60.00
Element x y z (fractional)
Pr: 0.552 0.220 0.341
Pr: 0.780 0.113 0.659
Pr: 0.113 0.448 0.659
Pr: 0.666 0.666 0.002
Pr: 0.334 0.334 0.998
Pr: 0.887 0.552 0.341
Pr: 0.220 0.887 0.341
Pr: 0.448 0.780 0.659
Dy: 0.000 0.000 0.000
Ga: 0.381 0.054 0.836
Ga: 0.946 0.271 0.164
Ga: 0.271 0.619 0.164
Ga: 0.729 0.381 0.836
Ga: 0.054 0.729 0.836
Ga: 0.619 0.946 0.164

# 12
Hg12Bi3As5 | PBE-GGA | relaxed

Energy of formation from the pure elements ... 0.181 eV/atom
Density of states at the Fermi level ... 11.53 states/eV/f.u.

Unit cell a=14.566 b=14.566 c=14.566 alpha=109.47 beta=109.47 gamma=109.47
Element x y z (fractional)
Bi: 0.750 0.375 0.125
Bi: 0.875 0.750 0.125
Bi: 0.375 0.750 0.625
Bi: 0.250 0.125 0.375
Bi: 0.875 0.125 0.250
Bi: 0.375 0.625 0.250
Bi: 0.625 0.375 0.750
Bi: 0.125 0.875 0.750
Bi: 0.750 0.875 0.625
Bi: 0.625 0.250 0.375
Bi: 0.125 0.250 0.875
Bi: 0.250 0.625 0.875
As: 0.125 0.375 0.250
As: 0.000 0.500 0.000
As: 0.000 0.000 0.000
As: 0.375 0.250 0.125
As: 0.500 0.000 0.500
As: 0.500 0.500 0.000
As: 0.125 0.750 0.375
As: 0.750 0.125 0.875
As: 0.750 0.625 0.375
As: 0.375 0.125 0.750
As: 0.625 0.875 0.250
As: 0.500 0.500 0.500
As: 0.500 0.000 0.000
As: 0.000 0.000 0.500
As: 0.250 0.375 0.625
As: 0.250 0.875 0.125
As: 0.000 0.500 0.500
As: 0.875 0.250 0.625
As: 0.625 0.750 0.875
As: 0.875 0.625 0.750
Hg: 0.719 0.120 0.042
Hg: 0.324 0.542 0.423
Hg: 0.958 0.380 0.281
Hg: 0.542 0.219 0.120
Hg: 0.599 0.719 0.676
Hg: 0.958 0.577 0.176
Hg: 0.324 0.781 0.401
Hg: 0.077 0.901 0.120
Hg: 0.577 0.958 0.676
Hg: 0.719 0.599 0.176
Hg: 0.781 0.458 0.380
Hg: 0.824 0.923 0.042
Hg: 0.120 0.719 0.542
Hg: 0.380 0.423 0.099
Hg: 0.099 0.923 0.380
Hg: 0.401 0.120 0.577
Hg: 0.099 0.176 0.219
Hg: 0.458 0.676 0.077
Hg: 0.824 0.901 0.281
Hg: 0.120 0.401 0.077
Hg: 0.380 0.958 0.781
Hg: 0.577 0.620 0.401
Hg: 0.923 0.824 0.542
Hg: 0.781 0.324 0.901
Hg: 0.423 0.380 0.599
Hg: 0.077 0.176 0.458
Hg: 0.219 0.676 0.099
Hg: 0.176 0.099 0.719
Hg: 0.620 0.042 0.219
Hg: 0.880 0.599 0.923
Hg: 0.542 0.324 0.923
Hg: 0.599 0.880 0.423
Hg: 0.901 0.824 0.781
Hg: 0.901 0.077 0.620
Hg: 0.880 0.281 0.458
Hg: 0.176 0.077 0.958
Hg: 0.620 0.577 0.901
Hg: 0.423 0.042 0.324
Hg: 0.281 0.401 0.824
Hg: 0.219 0.542 0.620
Hg: 0.923 0.099 0.880
Hg: 0.676 0.219 0.599
Hg: 0.458 0.781 0.880
Hg: 0.042 0.423 0.824
Hg: 0.401 0.281 0.324
Hg: 0.042 0.620 0.719
Hg: 0.676 0.458 0.577
Hg: 0.281 0.880 0.958